(1)
Density functional theory data (PBE) for a relaxed structure of Nb2Cd2I.

Structure (POSCAR):
```
Nb2Cd2I
1.0
-4.2061 4.1236 4.3766
-4.6097 1.2184 -5.5781
-2.2372 -3.4454 1.0962
Nb Cd I
4 4 2
Cartesian
-2.2553 0.9660 -1.5667
-3.1856 2.7178 2.0408
-6.5606 4.3760 0.3651
-5.6302 2.6242 -3.2423
-4.8967 -0.2208 -2.4418
-3.2891 -0.1464 1.0728
-7.7639 2.0430 -1.1782
-6.1563 2.1174 2.3364
-4.4079 2.6710 -0.6008
0.0000 0.0000 0.0000
```

Properties
- ΔE to the lowest computed polymorph: 0.000 eV/atom
- Uncorrected formation energy: 0.46 eV/atom
- Space group: P4/mbm, No. 127

(2)
Density functional theory data (PBE) for a relaxed structure of NbCdIO2.

Structure (POSCAR):
```
NbCdIO2
1.0
4.2471 0.0000 0.0000
0.0000 4.2471 0.0000
0.0000 0.0000 5.7980
O Cd I Nb
2 1 1 1
Cartesian
2.1236 0.0000 0.0000
0.0000 2.1236 0.0000
0.0000 0.0000 0.0000
0.0000 0.0000 2.8990
2.1236 2.1236 2.8990
```

Properties
- ΔE to the lowest computed polymorph: 1.569 eV/atom
- Uncorrected formation energy: 0.52 eV/atom
- Space group: P4/mmm, No. 123

(3)
Density functional theory data (PBE) for a relaxed structure of NbCdI2O.

Structure (POSCAR):
```
NbCdI2O
1.0
5.8960 0.0000 0.0000
0.0000 5.8960 0.0000
0.0000 0.0000 4.0031
Nb O I Cd
1 1 2 1
Cartesian
2.9480 2.9480 2.0016
0.0000 0.0000 2.0016
2.9480 0.0000 0.0000
0.0000 2.9480 0.0000
0.0000 0.0000 0.0000
```

Properties
- ΔE to the lowest computed polymorph: 1.103 eV/atom
- Uncorrected formation energy: 0.46 eV/atom
- Space group: P4/mmm, No. 123

(4)
Density functional theory data (PBE) for a relaxed structure of NbCdI2O.

Structure (POSCAR):
```
NbCdI2O
1.0
-0.2873 -5.5082 -2.0264
4.1483 -1.6258 3.8311
-2.7847 -0.8338 2.6614
O Cd I Nb
1 1 2 1
Cartesian
-1.3924 -0.4169 1.3307
0.5381 -3.9839 2.2331
2.0741 -0.8129 1.9156
-0.1437 -2.7541 -1.0132
0.0000 0.0000 0.0000
```

Properties
- ΔE to the lowest computed polymorph: 0.000 eV/atom
- Uncorrected formation energy: -0.64 eV/atom
- Space group: P4/mmm, No. 123

(5)
Density functional theory data (PBE) for a relaxed structure of NbCdIO6.

Structure (POSCAR):
```
NbCdIO6
1.0
-2.7774 3.5682 3.0812
3.6840 -3.3219 2.3092
6.9012 6.6358 -1.4640
O Nb I Cd
12 2 2 2
Cartesian
6.3137 5.7811 0.6812
-0.4902 3.2593 3.6737
-0.0348 2.1848 0.9503
7.8427 4.6973 2.9762
5.0076 4.3519 2.5057
0.7527 4.6713 1.4739
2.8002 2.5303 1.4207
7.0551 2.2108 2.4525
1.4942 1.1011 3.2452
8.2980 3.6229 0.2527
5.7195 3.0461 -0.0570
2.0883 3.8360 3.9834
1.1017 2.9305 2.4579
6.7061 3.9517 1.4685
3.2555 0.6338 2.2006
4.5523 6.2484 1.7259
3.4506 3.3179 -0.7320
0.0000 0.0000 0.0000
```

Properties
- Uncorrected formation energy: -1.26 eV/atom
- Space group: P-31c, No. 163

(6)
Density functional theory data (PBE) for a relaxed structure of NbCdIO2.

Structure (POSCAR):
```
NbCdIO2
1.0
-3.5850 -1.1876 -1.5761
-0.1570 -3.0863 2.6827
-2.9065 3.5616 3.9274
Nb Cd O I
1 1 2 1
Cartesian
0.0000 0.0000 0.0000
-3.3243 -0.3562 2.5170
-1.7925 -0.5938 -0.7881
-0.0785 -1.5432 1.3414
-1.4532 1.7808 1.9637
```

Properties
- ΔE to the lowest computed polymorph: 0.000 eV/atom
- Uncorrected formation energy: -1.05 eV/atom
- Space group: P4/mmm, No. 123

(7)
Density functional theory data (PBE) for a relaxed structure of NbCdSbI2.

Structure (POSCAR):
```
NbCdSbI2
1.0
-3.1917 4.6069 0.2133
-3.8467 -2.8024 2.9674
2.4903 1.5099 4.6543
Sb I Nb Cd
1 2 1 1
Cartesian
1.2452 0.7550 2.3272
-1.5959 2.3034 0.1066
-1.9234 -1.4012 1.4837
0.0000 0.0000 0.0000
-2.2741 1.6572 3.9175
```

Properties
- ΔE to the lowest computed polymorph: 0.000 eV/atom
- Uncorrected formation energy: 0.22 eV/atom
- Space group: P4/mmm, No. 123

(8)
Density functional theory data (PBE) for a relaxed structure of NbCdSbI2.

Structure (POSCAR):
```
NbCdSbI2
1.0
-1.4189 -1.7975 -5.2470
-1.9713 -4.8989 2.2113
-5.0602 2.2985 0.5810
Nb Sb Cd I
1 1 1 2
Cartesian
-4.2253 -2.1989 -1.2273
-2.5301 1.1493 0.2905
0.0000 0.0000 0.0000
-0.7095 -0.8987 -2.6235
-0.9857 -2.4494 1.1057
```

Properties
- ΔE to the lowest computed polymorph: 0.823 eV/atom
- Uncorrected formation energy: 1.04 eV/atom
- Space group: P4/mmm, No. 123